## PPb2W (PBEsol)

Data for PPb2W after structural relaxation.

Cell and atoms, written as extended XYZ:
```
4
Lattice="4.024 0.000 0.000 0.000 4.941 0.000 -0.318 0.000 4.735" Properties=species:S:1:pos:R:3 pbc="T T T"
P 0.000 0.000 0.000
Pb 0.883 2.471 3.517
Pb 2.824 2.471 1.218
W -0.159 0.000 2.367
```

final energy: -6.11 eV per atom
SG: No. 10

***

## PrTi2Al20 (PBEsol)

Data for PrTi2Al20 after structural relaxation.

Cell and atoms, written as extended XYZ:
```
46
Lattice="0.000 7.312 7.312 7.312 0.000 7.312 7.312 7.312 0.000" Properties=species:S:1:pos:R:3 pbc="T T T"
Pr 1.828 1.828 1.828
Pr 12.796 12.796 12.796
Ti 7.312 3.656 3.656
Ti 3.656 7.312 3.656
Ti 3.656 3.656 7.312
Ti 7.312 7.312 7.312
Al 0.000 0.000 0.000
Al 3.656 3.656 0.000
Al 3.656 0.000 3.656
Al 4.764 2.791 2.791
Al 8.177 6.204 2.791
Al 8.177 2.791 6.204
Al 9.860 6.447 6.447
Al 11.833 8.421 6.447
Al 11.833 6.447 8.421
Al 5.484 5.484 3.465
Al 5.484 3.465 5.484
Al 7.503 5.484 5.484
Al 2.791 4.764 2.791
Al 6.204 8.177 2.791
Al 2.791 2.791 4.764
Al 8.177 8.177 4.764
Al 6.204 2.791 8.177
Al 8.177 4.764 8.177
Al 9.140 9.140 7.121
Al 9.140 7.121 9.140
Al 11.159 9.140 9.140
Al 0.000 3.656 3.656
Al 3.465 5.484 5.484
Al 5.484 7.503 5.484
Al 5.484 5.484 7.503
Al 6.447 9.860 6.447
Al 8.421 11.833 6.447
Al 6.447 6.447 9.860
Al 11.833 11.833 9.860
Al 8.421 6.447 11.833
Al 11.833 9.860 11.833
Al 7.121 9.140 9.140
Al 9.140 11.159 9.140
Al 9.140 9.140 11.159
Al 2.791 8.177 6.204
Al 2.791 6.204 8.177
Al 4.764 8.177 8.177
Al 6.447 11.833 8.421
Al 6.447 8.421 11.833
Al 9.860 11.833 11.833
```

final energy: -4.74 eV per atom
SG: No. 227

***

## NaAg2Pt2 (PBEsol)

Data for NaAg2Pt2 after structural relaxation.

Cell and atoms, written as extended XYZ:
```
5
Lattice="-2.009 2.009 6.008 2.009 -2.009 6.008 2.009 2.009 -6.008" Properties=species:S:1:pos:R:3 pbc="T T T"
Na 0.000 0.000 0.000
Ag 2.009 0.000 3.004
Ag 0.000 2.009 3.004
Pt 0.000 0.000 4.775
Pt 0.000 0.000 7.240
```

final energy: -4.09 eV per atom
SG: No. 139

***

## Rb2MnTl (PBEsol)

Data for Rb2MnTl after structural relaxation.

Cell and atoms, written as extended XYZ:
```
4
Lattice="0.000 4.275 4.275 4.275 0.000 4.275 4.275 4.275 0.000" Properties=species:S:1:pos:R:3 pbc="T T T"
Rb 2.137 2.137 2.137
Rb 6.412 6.412 6.412
Mn 0.000 0.000 0.000
Tl 4.275 4.275 4.275
```

final energy: -2.81 eV per atom
SG: No. 225

***

## AlTe2PI (PBEsol)

Data for AlTe2PI after structural relaxation.

Cell and atoms, written as extended XYZ:
```
5
Lattice="5.277 0.000 0.000 0.000 5.277 0.000 0.000 0.000 5.136" Properties=species:S:1:pos:R:3 pbc="T T T"
Al 0.000 0.000 0.000
Te 0.000 2.638 0.000
Te 2.638 0.000 0.000
P 2.638 2.638 2.568
I 0.000 0.000 2.568
```

energy relative to the elements, uncorrected: 327 kJ/mol of formula units
SG: No. 123

***

## MgMo2W (PBEsol)

Data for MgMo2W after structural relaxation.

Cell and atoms, written as extended XYZ:
```
4
Lattice="4.664 -1.312 0.000 4.664 1.312 0.000 -0.168 0.000 5.217" Properties=species:S:1:pos:R:3 pbc="T T T"
Mg 0.000 0.000 0.000
Mo 2.237 0.000 3.936
Mo 4.553 0.000 2.612
W 6.910 0.000 1.315
```

final energy: -9.31 eV per atom
SG: No. 8